Entry 1:
A relaxed ReAsSe2N crystal. Source: Alexandria via LeMat-Bulk, functional PBEsol.

Values from the calculation:
The space group is P4/mmm (123). The raw total energy is -5.42 eV per atom.

a = 4.832 Å, b = 4.832 Å, c = 4.782 Å
α = 90.00°, β = 90.00°, γ = 90.00°
Last column: magnetic moment on the atom in μB.
Atoms (fractional coordinates):
As 0.000 0.000 0.500  -0.01
Se 0.000 0.500 0.000  0.03
Se 0.500 0.000 0.000  0.03
N 0.500 0.500 0.500  1.69
Re 0.000 0.000 0.000  -0.12


Entry 2:
A relaxed ReTe2AsN crystal. Source: Alexandria via LeMat-Bulk, functional PBEsol.

Values from the calculation:
The space group is P4/mmm (123). The raw total energy is -5.33 eV per atom.

a = 3.475 Å, b = 5.323 Å, c = 5.323 Å
α = 90.00°, β = 90.00°, γ = 90.00°
Last column: magnetic moment on the atom in μB.
Atoms (fractional coordinates):
As 0.000 0.000 0.000  -0.01
N 0.500 0.000 0.000  -0.01
Te 0.000 0.500 0.000  -0.06
Te 0.000 0.000 0.500  -0.06
Re 0.500 0.500 0.500  1.49


Entry 3:
A relaxed AsRhN3 crystal. Source: Alexandria via LeMat-Bulk, functional PBEsol.

Values from the calculation:
The space group is Pm-3m (221). The raw total energy is -6.27 eV per atom.

a = 3.831 Å, b = 3.831 Å, c = 3.831 Å
α = 90.00°, β = 90.00°, γ = 90.00°
Atoms (fractional coordinates):
N 0.000 0.500 0.000
N 0.000 0.000 0.500
N 0.500 0.000 0.000
As 0.500 0.500 0.500
Rh 0.000 0.000 0.000


Entry 4:
A relaxed AsRhSN2 crystal. Source: Alexandria via LeMat-Bulk, functional PBEsol.

Values from the calculation:
The space group is P4/mmm (123). The raw total energy is -5.56 eV per atom.

a = 3.527 Å, b = 3.527 Å, c = 5.661 Å
α = 90.00°, β = 90.00°, γ = 90.00°
Last column: magnetic moment on the atom in μB.
Atoms (fractional coordinates):
As 0.000 0.000 0.000  0.00
S 0.000 0.000 0.500  0.08
N 0.000 0.500 0.000  0.16
N 0.500 0.000 0.000  0.16
Rh 0.500 0.500 0.500  0.69


Entry 5:
A relaxed AsRhS2N crystal. Source: Alexandria via LeMat-Bulk, functional PBEsol.

Values from the calculation:
The space group is P4/mmm (123). The raw total energy is -5.03 eV per atom.

a = 3.431 Å, b = 4.708 Å, c = 4.708 Å
α = 90.00°, β = 90.00°, γ = 90.00°
Atoms (fractional coordinates):
Rh 0.500 0.500 0.500
N 0.500 0.000 0.000
As 0.000 0.000 0.000
S 0.000 0.000 0.500
S 0.000 0.500 0.000


Entry 6:
A relaxed TeAsRhN2 crystal. Source: Alexandria via LeMat-Bulk, functional PBEsol.

Values from the calculation:
The space group is P4/mmm (123). The raw total energy is -5.42 eV per atom.

a = 3.634 Å, b = 3.634 Å, c = 6.959 Å
α = 90.00°, β = 90.00°, γ = 90.00°
Last column: magnetic moment on the atom in μB.
Atoms (fractional coordinates):
Te 0.000 0.000 0.500  0.00
N 0.500 0.000 0.000  0.10
N 0.000 0.500 0.000  0.10
Rh 0.500 0.500 0.500  0.02
As 0.000 0.000 0.000  -0.01


Entry 7:
A relaxed AsS2N2 crystal. Source: Alexandria via LeMat-Bulk, functional PBEsol.

Values from the calculation:
The space group is P4/mmm (123). The raw total energy is -4.88 eV per atom.

a = 3.556 Å, b = 3.556 Å, c = 4.581 Å
α = 90.00°, β = 90.00°, γ = 90.00°
Atoms (fractional coordinates):
N 0.000 0.500 0.000
N 0.500 0.000 0.000
S 0.000 0.000 0.000
S 0.000 0.000 0.500
As 0.500 0.500 0.500


Entry 8:
A relaxed ScAsSN2 crystal. Source: Alexandria via LeMat-Bulk, functional PBEsol.

Values from the calculation:
The space group is P4/mmm (123). The raw total energy is -5.91 eV per atom.

a = 3.966 Å, b = 3.966 Å, c = 5.097 Å
α = 90.00°, β = 90.00°, γ = 90.00°
Atoms (fractional coordinates):
S 0.000 0.000 0.500
N 0.500 0.000 0.000
N 0.000 0.500 0.000
Sc 0.000 0.000 0.000
As 0.500 0.500 0.500